Record 1
MgBe2RuAu after structural relaxation. Source: the Alexandria database, functional PBE-GGA.

Total moment   0.00 μB per atom
DOS at the Fermi energy   4.08 states/eV per cell
Space group   P4/mmm, No. 123
Uncorrected energy   -2.9226 eV per atom
Energy of formation   1397 meV/atom

a b c (Å): 4.291 4.433 4.291
angles (deg): 90.00 90.00 90.00
Fractional positions:
1 Ru 0.000 0.500 0.000
2 Mg 0.000 0.000 0.000
3 Au 0.500 0.500 0.500
4 Be 0.000 0.000 0.500
5 Be 0.500 0.000 0.000


Record 2
Sc3AlGa after structural relaxation. Source: the Alexandria database, functional PBE-GGA.

E above lowest polymorph   0 kJ/mol of formula units
Total moment   0.23 μB per atom
DOS at the Fermi energy   9.11 states/eV per cell
Space group   Cmcm, No. 63
Uncorrected energy   -5.5615 eV per atom
Energy of formation   -409 meV/atom

a b c (Å): 4.751 4.751 9.312
angles (deg): 90.00 75.22 90.00
Fractional positions:
1 Sc 0.764 0.250 0.120
2 Sc 0.383 0.250 0.882
3 Sc 0.574 0.250 0.500
4 Sc 0.265 0.750 0.118
5 Sc 0.884 0.750 0.880
6 Sc 0.074 0.750 0.500
7 Al 0.478 0.750 0.692
8 Al 0.170 0.250 0.308
9 Ga 0.670 0.750 0.309
10 Ga 0.978 0.250 0.691


Record 3
Na3Pu2AlO9 after structural relaxation. Source: the Alexandria database, functional PBE-GGA.

Total moment   0.27 μB per atom
DOS at the Fermi energy   8.27 states/eV per cell
Space group   P-3m1, No. 164
Energy relative to the elements, uncorrected   -35.33 eV/f.u.
Uncorrected energy   -7.7544 eV per atom

a b c (Å): 5.673 5.673 7.041
angles (deg): 90.00 90.00 120.00
Fractional positions:
1 Na 0.333 0.667 0.648
2 Na 0.000 0.000 0.000
3 Na 0.667 0.333 0.352
4 Pu 0.333 0.667 0.184
5 Pu 0.667 0.333 0.816
6 Al 0.000 0.000 0.500
7 O 0.839 0.161 0.657
8 O 0.839 0.678 0.657
9 O 0.322 0.161 0.657
10 O 0.678 0.839 0.343
11 O 0.161 0.322 0.343
12 O 0.161 0.839 0.343
13 O 0.500 0.000 0.000
14 O 0.000 0.500 0.000
15 O 0.500 0.500 0.000